DFT (PBE) results for a geometry-optimized Mg2NiP structure.

Cell lengths 4.4302, 4.4302, 4.4302 Å; angles 60.00, 60.00, 60.00 degrees
Atoms (fractional coordinates):
Ni1 0.5000 0.5000 0.5000
Mg1 0.0000 0.0000 0.0000
Mg2 0.2500 0.2500 0.2500
P1 0.7500 0.7500 0.7500

Its formation energy from the elements is 0.01 eV per atom. As for the electronic total energy: -3.587 eV per atom.